A plane-wave DFT calculation with GGA+U was carried out for a geometry-optimized V2InF6 structure.

The value obtained for the total energy is -5.578 eV/atom. As for the crystal system: monoclinic. For the size of the total moment, the calculation gives 1.999 μB per cell.

abc: 5.445 9.653 5.954
angles: 90.00 91.62 90.00
Space group C2 (No. 5)
Inequivalent atoms, fractional coordinates:
1 V 0.000 0.000 0.000
2 V 0.000 0.330 0.000
3 In 0.000 0.660 0.500
4 F 0.126 0.174 0.817
5 F 0.165 0.477 0.816
6 F 0.195 0.849 0.816